[1]
# ScBi3O PBE optimized geometry
data_ScBi3O
_chemical_formula_sum 'Sc1 Bi3 O1'
_space_group_name_H-M_alt 'P m -3 m'
_space_group_IT_number 221
_space_group_name_Hall '-P 4 2 3'
_cell_length_a 5.503
_cell_length_b 5.503
_cell_length_c 5.503
_cell_angle_alpha 90.00
_cell_angle_beta 90.00
_cell_angle_gamma 90.00
loop_
_atom_site_label
_atom_site_type_symbol
_atom_site_fract_x
_atom_site_fract_y
_atom_site_fract_z
Sc1 Sc 0.000 0.000 0.000
Bi1 Bi 0.000 0.000 0.500
O1 O 0.500 0.500 0.500
# Formation energy from raw total energies, eV/atom: 0.646
# VASP energy, eV per atom: -3.941
# Crystal system: cubic
# N(E_F), states/eV/cell: 8.762

[2]
# KCoS2 PBE optimized geometry
data_KCoS2
_chemical_formula_sum 'K2 Co2 S4'
_space_group_name_H-M_alt 'I -4 m 2'
_space_group_IT_number 119
_space_group_name_Hall 'I -4 -2'
_cell_length_a 3.791
_cell_length_b 3.791
_cell_length_c 11.856
_cell_angle_alpha 90.00
_cell_angle_beta 90.00
_cell_angle_gamma 90.00
loop_
_atom_site_label
_atom_site_type_symbol
_atom_site_fract_x
_atom_site_fract_y
_atom_site_fract_z
K1 K 0.000 0.000 0.000
Co1 Co 0.000 0.500 0.750
S1 S 0.000 0.000 0.334
# Formation energy from raw total energies, eV/atom: -0.589
# VASP energy, eV per atom: -4.704
# Crystal system: tetragonal
# N(E_F), states/eV/cell: 6.430

[3]
# CuAuF6 PBE optimized geometry
data_CuAuF6
_chemical_formula_sum 'Cu2 Au2 F12'
_space_group_name_H-M_alt 'P 1 21/c 1'
_space_group_IT_number 14
_cell_length_a 5.376
_cell_length_b 5.568
_cell_length_c 9.436
_cell_angle_alpha 90.00
_cell_angle_beta 124.66
_cell_angle_gamma 90.00
loop_
_space_group_symop_operation_xyz
'x,y,z'
'-x,-y,-z'
'-x,y+1/2,-z+1/2'
'x,-y+1/2,z+1/2'
loop_
_atom_site_label
_atom_site_type_symbol
_atom_site_fract_x
_atom_site_fract_y
_atom_site_fract_z
Cu1 Cu 0.000 0.000 0.000
Au1 Au 0.500 0.000 0.500
F1 F 0.149 0.017 0.244
F2 F 0.242 0.708 0.047
F3 F 0.342 0.198 0.047
# Formation energy from raw total energies, eV/atom: -1.172
# VASP energy, eV per atom: -3.498
# Crystal system: monoclinic
# N(E_F), states/eV/cell: 3.063